First-principles (PBE-GGA) data for crystalline NpMnNbRu at its relaxed geometry, as listed in Alexandria.

a = 4.566 Å, b = 4.566 Å, c = 4.566 Å
α = 60.00°, β = 60.00°, γ = 60.00°
Last column: magnetic moment on the atom in μB.
Atoms (fractional coordinates):
Np 0.250 0.250 0.250  3.36
Ru 0.000 0.000 0.000  -0.15
Nb 0.750 0.750 0.750  0.38
Mn 0.500 0.500 0.500  -1.38

Values from the calculation:
The value obtained for the formation energy is 0.112 eV/atom. The space group is F-43m. The value obtained for the volume is 67.3 Å³/cell.